DFT (PBE+U) results for crystalline DyCr2GeO6 at its relaxed geometry.

Values from the calculation:
- E: -7.561 eV/atom
- Mass density: 6.23 g cm⁻³
- Crystal system: triclinic

```
data_DyCr2GeO6
_chemical_formula_sum 'Dy1 Cr2 Ge1 O6'
_cell_length_a 5.201
_cell_length_b 5.262
_cell_length_c 5.617
_cell_angle_alpha 64.17
_cell_angle_beta 89.96
_cell_angle_gamma 60.64
_symmetry_space_group_name_H-M 'P 1'
_symmetry_Int_Tables_number 1
loop_
_symmetry_equiv_pos_as_xyz
'x,y,z'
loop_
_atom_site_label
_atom_site_fract_x
_atom_site_fract_y
_atom_site_fract_z
_atom_site_occupancy
Dy1 0.000 0.000 0.000 1
Cr1 0.213 0.574 0.618 1
Cr2 0.718 0.549 0.161 1
Ge1 0.523 0.956 0.553 1
O1 0.175 0.023 0.367 1
O2 0.324 0.102 0.801 1
O3 0.436 0.411 0.364 1
O4 0.579 0.504 0.829 1
O5 0.802 0.771 0.362 1
O6 0.909 0.743 0.825 1
```